1.
An optimized crystal structure of HfMn3In, computed with PBE-GGA.

Values from the calculation:
The mass density comes out at 7007 kg/m³. The relative energy among the computed polymorphs comes out at 0 meV/atom. As for the crystal system: cubic. The value obtained for the energy of formation is 1.222 eV/atom. As for the density of states at the Fermi level: 4.91 states/eV/cell.

Cell and atoms, written as CIF:
```
data_HfMn3In
_cell_length_a 4.7706
_cell_length_b 4.7706
_cell_length_c 4.7706
_cell_angle_alpha 90.00
_cell_angle_beta 90.00
_cell_angle_gamma 90.00
_symmetry_space_group_name_H-M 'P m -3 m'
_symmetry_Int_Tables_number 221
_symmetry_space_group_name_Hall '-P 4 2 3'
loop_
_atom_site_label
_atom_site_type_symbol
_atom_site_fract_x
_atom_site_fract_y
_atom_site_fract_z
Hf1 Hf 0.0000 0.0000 0.0000
Mn1 Mn 0.0000 0.0000 0.5000
In1 In 0.5000 0.5000 0.5000
```

2.
An optimized crystal structure of NpTl2Au9, computed with PBE-GGA.

Values from the calculation:
The mass density comes out at 15510 kg/m³. As for the crystal system: trigonal. The value obtained for the energy of formation is -0.013 eV/atom. As for the density of states at the Fermi level: 49.98 states/eV/cell.

Cell and atoms, written as CIF:
```
data_NpTl2Au9
_cell_length_a 5.6255
_cell_length_b 5.6255
_cell_length_c 28.3423
_cell_angle_alpha 90.00
_cell_angle_beta 90.00
_cell_angle_gamma 120.00
_symmetry_space_group_name_H-M 'R -3 m'
_symmetry_Int_Tables_number 166
_symmetry_space_group_name_Hall '-R 3 2"'
loop_
_atom_site_label
_atom_site_type_symbol
_atom_site_fract_x
_atom_site_fract_y
_atom_site_fract_z
Np1 Np 0.0000 0.0000 0.0000
Tl1 Tl 0.0000 0.0000 0.1443
Au1 Au 0.0000 0.0000 0.3326
Au2 Au 0.0000 0.0000 0.5000
Au3 Au 0.0009 0.5004 0.9174
```

3.
An optimized crystal structure of Rb4CaPu3O8, computed with PBE-GGA.

Values from the calculation:
The formation energy from raw total energies comes out at -2.378 eV/atom. The mass density comes out at 7105 kg/m³. As for the crystal system: trigonal. As for the density of states at the Fermi level: 35.21 states/eV/cell.

Cell and atoms, written as CIF:
```
data_Rb4CaPu3O8
_cell_length_a 7.1576
_cell_length_b 7.1576
_cell_length_c 19.6271
_cell_angle_alpha 90.00
_cell_angle_beta 90.00
_cell_angle_gamma 120.00
_symmetry_space_group_name_H-M 'R -3 m'
_symmetry_Int_Tables_number 166
_symmetry_space_group_name_Hall '-R 3 2"'
loop_
_atom_site_label
_atom_site_type_symbol
_atom_site_fract_x
_atom_site_fract_y
_atom_site_fract_z
Rb1 Rb 0.0000 0.0000 0.0000
Rb2 Rb 0.0000 0.5000 0.0000
Ca1 Ca 0.0000 0.0000 0.5000
Pu1 Pu 0.0000 0.5000 0.5000
O1 O 0.0000 0.0000 0.2265
O2 O 0.0139 0.5069 0.7752
```

4.
An optimized crystal structure of CuGe2Sb, computed with PBE-GGA.

Values from the calculation:
The formation energy from raw total energies comes out at 0.231 eV/atom. The mass density comes out at 5447 kg/m³. As for the crystal system: tetragonal. As for the density of states at the Fermi level: 6.56 states/eV/cell.

Cell and atoms, written as CIF:
```
data_CuGe2Sb
_cell_length_a 5.8936
_cell_length_b 5.8936
_cell_length_c 11.6066
_cell_angle_alpha 90.00
_cell_angle_beta 90.00
_cell_angle_gamma 90.00
_symmetry_space_group_name_H-M 'I -4 2 d'
_symmetry_Int_Tables_number 122
_symmetry_space_group_name_Hall 'I -4 2bw'
loop_
_atom_site_label
_atom_site_type_symbol
_atom_site_fract_x
_atom_site_fract_y
_atom_site_fract_z
Cu1 Cu 0.0000 0.0000 0.0000
Ge1 Ge 0.1995 0.2500 0.1250
Sb1 Sb 0.0000 0.0000 0.5000
```

5.
An optimized crystal structure of CsLaBeO3, computed with PBE-GGA.

Values from the calculation:
The formation energy from raw total energies comes out at -2.552 eV/atom. The mass density comes out at 4673 kg/m³. As for the crystal system: monoclinic. As for the density of states at the Fermi level: 0.00 states/eV/cell.

Cell and atoms, written as CIF:
```
data_CsLaBeO3
_cell_length_a 7.9867
_cell_length_b 3.6720
_cell_length_c 8.4199
_cell_angle_alpha 90.00
_cell_angle_beta 108.83
_cell_angle_gamma 90.00
_symmetry_space_group_name_H-M 'P 1 21/m 1'
_symmetry_Int_Tables_number 11
_symmetry_space_group_name_Hall '-P 2yb'
loop_
_atom_site_label
_atom_site_type_symbol
_atom_site_fract_x
_atom_site_fract_y
_atom_site_fract_z
Cs1 Cs 0.2275 0.2500 0.1942
La1 La 0.1740 0.2500 0.6604
Be1 Be 0.3956 0.7500 0.9443
O1 O 0.1422 0.7500 0.4681
O2 O 0.1941 0.7500 0.8607
O3 O 0.4711 0.2500 0.8760
```

6.
An optimized crystal structure of CaNd4Sm7, computed with PBE-GGA.

Values from the calculation:
The mass density comes out at 6621 kg/m³. The relative energy among the computed polymorphs comes out at 0 meV/atom. As for the crystal system: triclinic. The value obtained for the energy of formation is 0.033 eV/atom. As for the density of states at the Fermi level: 16.49 states/eV/cell.

Cell and atoms, written as CIF:
```
data_CaNd4Sm7
_cell_length_a 6.3908
_cell_length_b 7.3652
_cell_length_c 9.1517
_cell_angle_alpha 89.90
_cell_angle_beta 76.43
_cell_angle_gamma 89.97
_symmetry_space_group_name_H-M 'P -1'
_symmetry_Int_Tables_number 2
_symmetry_space_group_name_Hall '-P 1'
loop_
_atom_site_label
_atom_site_type_symbol
_atom_site_fract_x
_atom_site_fract_y
_atom_site_fract_z
Ca1 Ca 0.0000 0.0000 0.0000
Nd1 Nd 0.2192 0.4997 0.3282
Nd2 Nd 0.2840 0.2534 0.6647
Sm1 Sm 0.0000 0.5000 0.0000
Sm2 Sm 0.2245 0.0000 0.3397
Sm3 Sm 0.2836 0.7469 0.6660
Sm4 Sm 0.5005 0.2552 0.9997
```

7.
An optimized crystal structure of H3PdRu, computed with PBE-GGA.

Values from the calculation:
The mass density comes out at 8537 kg/m³. The relative energy among the computed polymorphs comes out at 183 meV/atom. As for the crystal system: cubic. As for the density of states at the Fermi level: 3.83 states/eV/cell.

Cell and atoms, written as CIF:
```
data_H3PdRu
_cell_length_a 3.4467
_cell_length_b 3.4467
_cell_length_c 3.4467
_cell_angle_alpha 90.00
_cell_angle_beta 90.00
_cell_angle_gamma 90.00
_symmetry_space_group_name_H-M 'P m -3 m'
_symmetry_Int_Tables_number 221
_symmetry_space_group_name_Hall '-P 4 2 3'
loop_
_atom_site_label
_atom_site_type_symbol
_atom_site_fract_x
_atom_site_fract_y
_atom_site_fract_z
H1 H 0.0000 0.0000 0.5000
Pd1 Pd 0.0000 0.0000 0.0000
Ru1 Ru 0.5000 0.5000 0.5000
```

8.
An optimized crystal structure of Rb2Pd2Au, computed with PBE-GGA.

Values from the calculation:
The mass density comes out at 6629 kg/m³. The relative energy among the computed polymorphs comes out at 347 meV/atom. As for the crystal system: tetragonal. The value obtained for the energy of formation is 0.369 eV/atom. As for the density of states at the Fermi level: 2.57 states/eV/cell.

Cell and atoms, written as CIF:
```
data_Rb2Pd2Au
_cell_length_a 9.8722
_cell_length_b 9.8722
_cell_length_c 2.9852
_cell_angle_alpha 90.00
_cell_angle_beta 90.00
_cell_angle_gamma 90.00
_symmetry_space_group_name_H-M 'P 4/m b m'
_symmetry_Int_Tables_number 127
_symmetry_space_group_name_Hall '-P 4 2ab'
loop_
_atom_site_label
_atom_site_type_symbol
_atom_site_fract_x
_atom_site_fract_y
_atom_site_fract_z
Rb1 Rb 0.1996 0.3004 0.0000
Pd1 Pd 0.0923 0.5923 0.5000
Au1 Au 0.0000 0.0000 0.0000
```

9.
An optimized crystal structure of Th3Ge2C, computed with PBE-GGA.

Values from the calculation:
The mass density comes out at 9376 kg/m³. As for the crystal system: monoclinic. The value obtained for the energy of formation is -0.479 eV/atom. As for the density of states at the Fermi level: 10.44 states/eV/cell.

Cell and atoms, written as CIF:
```
data_Th3Ge2C
_cell_length_a 7.3277
_cell_length_b 12.4211
_cell_length_c 7.0150
_cell_angle_alpha 90.00
_cell_angle_beta 108.76
_cell_angle_gamma 90.00
_symmetry_space_group_name_H-M 'C 1 2/c 1'
_symmetry_Int_Tables_number 15
_symmetry_space_group_name_Hall '-C 2yc'
loop_
_atom_site_label
_atom_site_type_symbol
_atom_site_fract_x
_atom_site_fract_y
_atom_site_fract_z
Th1 Th 0.2149 0.0735 0.0001
Th2 Th 0.2500 0.2500 0.5000
Ge1 Ge 0.0000 0.2586 0.7500
Ge2 Ge 0.0000 0.4162 0.2500
C1 C 0.0000 0.0699 0.2500
```

10.
An optimized crystal structure of AlPt3Pb, computed with PBE-GGA.

Values from the calculation:
The mass density comes out at 13186 kg/m³. The relative energy among the computed polymorphs comes out at 0 meV/atom. As for the crystal system: cubic. The value obtained for the energy of formation is 0.076 eV/atom. As for the density of states at the Fermi level: 2.87 states/eV/cell.

Cell and atoms, written as CIF:
```
data_AlPt3Pb
_cell_length_a 4.6905
_cell_length_b 4.6905
_cell_length_c 4.6905
_cell_angle_alpha 90.00
_cell_angle_beta 90.00
_cell_angle_gamma 90.00
_symmetry_space_group_name_H-M 'P m -3 m'
_symmetry_Int_Tables_number 221
_symmetry_space_group_name_Hall '-P 4 2 3'
loop_
_atom_site_label
_atom_site_type_symbol
_atom_site_fract_x
_atom_site_fract_y
_atom_site_fract_z
Al1 Al 0.0000 0.0000 0.0000
Pt1 Pt 0.0000 0.0000 0.5000
Pb1 Pb 0.5000 0.5000 0.5000
```

11.
An optimized crystal structure of Ce2US6, computed with PBE-GGA.

Values from the calculation:
The formation energy from raw total energies comes out at -1.563 eV/atom. The mass density comes out at 4688 kg/m³. The relative energy among the computed polymorphs comes out at 99 meV/atom. As for the crystal system: tetragonal. As for the density of states at the Fermi level: 24.17 states/eV/cell.

Cell and atoms, written as CIF:
```
data_Ce2US6
_cell_length_a 6.3209
_cell_length_b 6.3209
_cell_length_c 12.6015
_cell_angle_alpha 90.00
_cell_angle_beta 90.00
_cell_angle_gamma 90.00
_symmetry_space_group_name_H-M 'P 42/m n m'
_symmetry_Int_Tables_number 136
_symmetry_space_group_name_Hall '-P 4n 2n'
loop_
_atom_site_label
_atom_site_type_symbol
_atom_site_fract_x
_atom_site_fract_y
_atom_site_fract_z
Ce1 Ce 0.0000 0.0000 0.1664
U1 U 0.0000 0.0000 0.5000
S1 S 0.1883 0.1883 0.3411
S2 S 0.2026 0.2026 0.0000
```

12.
An optimized crystal structure of Ba2YSi, computed with PBE-GGA.

Values from the calculation:
The formation energy from raw total energies comes out at -0.103 eV/atom. The mass density comes out at 3973 kg/m³. As for the crystal system: orthorhombic. As for the density of states at the Fermi level: 7.79 states/eV/cell.

Cell and atoms, written as CIF:
```
data_Ba2YSi
_cell_length_a 4.6368
_cell_length_b 5.1998
_cell_length_c 13.5797
_cell_angle_alpha 90.00
_cell_angle_beta 90.00
_cell_angle_gamma 90.00
_symmetry_space_group_name_H-M 'A m m 2'
_symmetry_Int_Tables_number 38
_symmetry_space_group_name_Hall 'A 2 -2'
loop_
_atom_site_label
_atom_site_type_symbol
_atom_site_fract_x
_atom_site_fract_y
_atom_site_fract_z
Ba1 Ba 0.0000 0.0000 0.0000
Ba2 Ba 0.5000 0.0000 0.3005
Y1 Y 0.5000 0.0000 0.6153
Si1 Si 0.0000 0.0000 0.7316
```

mass density of number 12 (Ba2YSi)?
3973 kg/m³